The following is a meta-GGA SCAN calculation of a PBEsol-optimized structure of ErNiP, from Alexandria via LeMat-Bulk.

abc: 3.8331 3.8331 7.5007
angles: 90.00 90.00 120.00
Space group P6_3/mmc (No. 194)
One atom of each set of equivalent atoms:
Er 0.0000 0.0000 0.0000
Ni 0.3333 0.6667 0.2500
P 0.3333 0.6667 0.7500

Crystal system: hexagonal
D(E_F): 0.38 states/eV per atom
Total moment: 0.00 μB per atom
Final energy: -161.72 eV for the cell shown
ΔH_f (0 K): -1.316 eV/atom

***

The following is a meta-GGA SCAN calculation of a PBEsol-optimized structure of Sr2YAgHg, from Alexandria via LeMat-Bulk.

abc: 5.9235 5.9235 5.4731
angles: 90.00 90.00 90.00
Space group P4/mmm (No. 123)
One atom of each set of equivalent atoms:
Sr 0.0000 0.5000 0.0000
Y 0.0000 0.0000 0.5000
Ag 0.0000 0.0000 0.0000
Hg 0.5000 0.5000 0.5000

Crystal system: tetragonal
D(E_F): 0.95 states/eV per atom
Total moment: 0.20 μB per atom
Final energy: -171.70 eV for the cell shown
ΔH_f (0 K): 0.045 eV/atom

***

The following is a meta-GGA SCAN calculation of a PBEsol-optimized structure of CaSc2Se, from Alexandria via LeMat-Bulk.

abc: 3.5232 3.5232 7.6881
angles: 90.00 90.00 90.00
Space group P4mm (No. 99)
One atom of each set of equivalent atoms:
Ca 0.0000 0.0000 0.0000
Sc 0.0000 0.0000 0.5697
Sc 0.5000 0.5000 0.3323
Se 0.5000 0.5000 0.7295

Raw formation energy: -770 meV/atom
Crystal system: tetragonal
D(E_F): 0.71 states/eV per atom
Total moment: 0.03 μB per atom
Final energy: -61.29 eV for the cell shown

***

The following is a meta-GGA SCAN calculation of a PBEsol-optimized structure of Ag5Pt3, from Alexandria via LeMat-Bulk.

abc: 5.5896 5.5896 13.9815
angles: 90.00 90.00 120.00
Space group R-3m (No. 166, hexagonal axes)
One atom of each set of equivalent atoms:
Ag 0.0000 0.0000 0.0000
Ag 0.0000 0.0000 0.5000
Ag 0.0000 0.5000 0.0000
Pt 0.0000 0.5000 0.5000

Crystal system: trigonal
D(E_F): 0.43 states/eV per atom
Total moment: 0.00 μB per atom
Final energy: -1102.69 eV for the cell shown
E above lowest polymorph: 0 meV/atom
ΔH_f (0 K): -0.019 eV/atom

***

The following is a meta-GGA SCAN calculation of a PBEsol-optimized structure of CaSc3Si, from Alexandria via LeMat-Bulk.

abc: 5.1409 5.1409 5.1409
angles: 90.00 90.00 90.00
Space group Pm-3m (No. 221)
One atom of each set of equivalent atoms:
Ca 0.0000 0.0000 0.0000
Sc 0.0000 0.5000 0.5000
Si 0.5000 0.5000 0.5000

Raw formation energy: -67 meV/atom
Crystal system: cubic
D(E_F): 1.33 states/eV per atom
Total moment: 0.00 μB per atom
Final energy: -62.72 eV for the cell shown
E above lowest polymorph: 0 meV/atom

***

The following is a meta-GGA SCAN calculation of a PBEsol-optimized structure of TlGaCSe2, from Alexandria via LeMat-Bulk.

abc: 5.2337 5.2337 3.7809
angles: 90.00 90.00 90.00
Space group P4/mmm (No. 123)
One atom of each set of equivalent atoms:
Tl 0.0000 0.0000 0.0000
Ga 0.5000 0.5000 0.5000
C 0.5000 0.5000 0.0000
Se 0.0000 0.5000 0.5000

Raw formation energy: 847 meV/atom
Crystal system: tetragonal
D(E_F): 0.86 states/eV per atom
Total moment: 0.00 μB per atom
Final energy: -134.73 eV for the cell shown

***

The following is a meta-GGA SCAN calculation of a PBEsol-optimized structure of AgAu2, from Alexandria via LeMat-Bulk.

abc: 2.8496 4.0800 8.6495
angles: 90.00 90.00 90.00
Space group Immm (No. 71)
One atom of each set of equivalent atoms:
Ag 0.0000 0.0000 0.0000
Au 0.0000 0.0000 0.3338

Crystal system: orthorhombic
D(E_F): 0.28 states/eV per atom
Total moment: 0.00 μB per atom
Final energy: -339.78 eV for the cell shown
E above lowest polymorph: 5 meV/atom
ΔH_f (0 K): -0.069 eV/atom

***

The following is a meta-GGA SCAN calculation of a PBEsol-optimized structure of Ba2YZnOs, from Alexandria via LeMat-Bulk.

abc: 6.4512 6.4512 4.7165
angles: 90.00 90.00 90.00
Space group P4/mmm (No. 123)
One atom of each set of equivalent atoms:
Ba 0.0000 0.5000 0.0000
Y 0.0000 0.0000 0.0000
Zn 0.5000 0.5000 0.5000
Os 0.0000 0.0000 0.5000

Crystal system: tetragonal
D(E_F): 1.10 states/eV per atom
Total moment: 0.00 μB per atom
Final energy: -187.20 eV for the cell shown
ΔH_f (0 K): 1.027 eV/atom

***

The following is a meta-GGA SCAN calculation of a PBEsol-optimized structure of Zr2Ta, from Alexandria via LeMat-Bulk.

abc: 10.7720 3.4212 7.0502
angles: 90.00 108.17 90.00
Space group C2/m (No. 12)
One atom of each set of equivalent atoms:
Zr 0.0094 0.0000 0.2458
Zr 0.1800 0.5000 0.6163
Ta 0.1670 0.5000 0.0535

Crystal system: monoclinic
D(E_F): 1.12 states/eV per atom
Total moment: 0.00 μB per atom
Final energy: -510.86 eV for the cell shown
ΔH_f (0 K): 0.089 eV/atom

***

The following is a meta-GGA SCAN calculation of a PBEsol-optimized structure of Cs, from Alexandria via LeMat-Bulk.

abc: 7.5501 7.5501 7.5501
angles: 90.00 90.00 90.00
Space group Fm-3m (No. 225)
One atom of each set of equivalent atoms:
Cs 0.0000 0.0000 0.0000

Crystal system: cubic
D(E_F): 1.14 states/eV per atom
Total moment: 0.00 μB per atom
Final energy: -151.22 eV for the cell shown
E above lowest polymorph: 4 meV/atom
ΔH_f (0 K): 0.004 eV/atom

***

The following is a meta-GGA SCAN calculation of a PBEsol-optimized structure of Mg5Pd, from Alexandria via LeMat-Bulk.

abc: 5.2700 5.2700 4.8000
angles: 90.00 90.00 120.00
Space group P-62m (No. 189)
One atom of each set of equivalent atoms:
Mg 0.0000 0.3137 0.0000
Mg 0.3333 0.6667 0.5000
Pd 0.0000 0.0000 0.5000

Crystal system: hexagonal
D(E_F): 0.38 states/eV per atom
Total moment: 0.00 μB per atom
Final energy: -59.31 eV for the cell shown
ΔH_f (0 K): -0.278 eV/atom

***

The following is a meta-GGA SCAN calculation of a PBEsol-optimized structure of RbReTc2Br, from Alexandria via LeMat-Bulk.

abc: 4.5705 4.5705 5.4420
angles: 90.00 90.00 90.00
Space group P4/mmm (No. 123)
One atom of each set of equivalent atoms:
Rb 0.0000 0.0000 0.0000
Re 0.5000 0.5000 0.0000
Tc 0.0000 0.5000 0.5000
Br 0.0000 0.0000 0.5000

Raw formation energy: 2513 meV/atom
Crystal system: tetragonal
D(E_F): 0.79 states/eV per atom
Total moment: 0.60 μB per atom
Final energy: -168.85 eV for the cell shown

***

The following is a meta-GGA SCAN calculation of a PBEsol-optimized structure of NaAlSiPb2, from Alexandria via LeMat-Bulk.

abc: 5.3565 5.3565 5.2373
angles: 90.00 90.00 90.00
Space group P4/mmm (No. 123)
One atom of each set of equivalent atoms:
Na 0.0000 0.0000 0.0000
Al 0.5000 0.5000 0.0000
Si 0.0000 0.0000 0.5000
Pb 0.0000 0.5000 0.5000

Raw formation energy: 616 meV/atom
Crystal system: tetragonal
D(E_F): 0.59 states/eV per atom
Total moment: 0.00 μB per atom
Final energy: -170.46 eV for the cell shown

***

The following is a meta-GGA SCAN calculation of a PBEsol-optimized structure of BeCuMo2W, from Alexandria via LeMat-Bulk.

abc: 4.2506 4.2506 3.7536
angles: 90.00 90.00 90.00
Space group P4/mmm (No. 123)
One atom of each set of equivalent atoms:
Be 0.0000 0.0000 0.0000
Cu 0.0000 0.0000 0.5000
Mo 0.0000 0.5000 0.0000
W 0.5000 0.5000 0.5000

Crystal system: tetragonal
D(E_F): 0.36 states/eV per atom
Total moment: 0.00 μB per atom
Final energy: -156.00 eV for the cell shown
ΔH_f (0 K): 0.602 eV/atom

***

The following is a meta-GGA SCAN calculation of a PBEsol-optimized structure of NaNdP4O12, from Alexandria via LeMat-Bulk.

abc: 7.2274 13.1624 12.2366
angles: 90.00 125.67 90.00
Space group P2_1/c (No. 14)
One atom of each set of equivalent atoms:
Na 0.0641 0.2231 0.0649
Nd 0.4634 0.2193 0.9771
P 0.0070 0.6015 0.2581
P 0.1127 0.6153 0.7340
P 0.3411 0.6279 0.1952
P 0.4292 0.0909 0.6990
O 0.0711 0.5135 0.7868
O 0.0944 0.1470 0.9002
O 0.0944 0.6242 0.1669
O 0.1928 0.6094 0.4061
O 0.2018 0.1652 0.2940
O 0.2133 0.6891 0.8476
O 0.2980 0.5811 0.7084
O 0.3207 0.7096 0.1034
O 0.3444 0.1615 0.5828
O 0.3515 0.5213 0.1353
O 0.3593 0.1114 0.7906
O 0.4764 0.1340 0.1569

Raw formation energy: -2714 meV/atom
Crystal system: monoclinic
D(E_F): 0.00 states/eV per atom
Total moment: 0.00 μB per atom
Final energy: -852.09 eV for the cell shown

***

The following is a meta-GGA SCAN calculation of a PBEsol-optimized structure of LaMnCo2, from Alexandria via LeMat-Bulk.

abc: 3.7379 3.7379 8.8879
angles: 90.00 90.00 90.00
Space group I-4m2 (No. 119)
One atom of each set of equivalent atoms:
La 0.0000 0.0000 0.0000
Mn 0.0000 0.5000 0.2500
Co 0.0000 0.0000 0.5000
Co 0.0000 0.5000 0.7500

Crystal system: tetragonal
D(E_F): 0.66 states/eV per atom
Total moment: 1.52 μB per atom
Final energy: -189.28 eV for the cell shown
ΔH_f (0 K): 0.332 eV/atom

***

The following is a meta-GGA SCAN calculation of a PBEsol-optimized structure of InAsIrBr2, from Alexandria via LeMat-Bulk.

abc: 5.3184 5.3184 4.5798
angles: 90.00 90.00 90.00
Space group P4/mmm (No. 123)
One atom of each set of equivalent atoms:
In 0.0000 0.0000 0.0000
As 0.5000 0.5000 0.0000
Ir 0.5000 0.5000 0.5000
Br 0.0000 0.5000 0.5000

Raw formation energy: 87 meV/atom
Crystal system: tetragonal
D(E_F): 0.36 states/eV per atom
Total moment: 0.00 μB per atom
Final energy: -163.16 eV for the cell shown

***

The following is a meta-GGA SCAN calculation of a PBEsol-optimized structure of SrLa2FeIr, from Alexandria via LeMat-Bulk.

abc: 5.2842 5.2842 4.6781
angles: 90.00 90.00 90.00
Space group P4/mmm (No. 123)
One atom of each set of equivalent atoms:
Sr 0.0000 0.0000 0.0000
La 0.0000 0.5000 0.5000
Fe 0.5000 0.5000 0.5000
Ir 0.5000 0.5000 0.0000

Crystal system: tetragonal
D(E_F): 0.80 states/eV per atom
Total moment: 0.00 μB per atom
Final energy: -196.98 eV for the cell shown
ΔH_f (0 K): 0.146 eV/atom

***

The following is a meta-GGA SCAN calculation of a PBEsol-optimized structure of TaAgP2, from Alexandria via LeMat-Bulk.

abc: 5.6755 5.6755 10.8632
angles: 90.00 90.00 90.00
Space group I-42d (No. 122)
One atom of each set of equivalent atoms:
Ta 0.0000 0.0000 0.0000
Ag 0.0000 0.0000 0.5000
P 0.2358 0.2500 0.1250

Crystal system: tetragonal
D(E_F): 0.18 states/eV per atom
Total moment: 0.00 μB per atom
Final energy: -475.16 eV for the cell shown
E above lowest polymorph: 96 meV/atom
ΔH_f (0 K): -0.010 eV/atom

***

The following is a meta-GGA SCAN calculation of a PBEsol-optimized structure of MgAs2SBr, from Alexandria via LeMat-Bulk.

abc: 4.8207 4.8207 4.9541
angles: 90.00 90.00 90.00
Space group P4/mmm (No. 123)
One atom of each set of equivalent atoms:
Mg 0.0000 0.0000 0.0000
As 0.0000 0.5000 0.5000
S 0.5000 0.5000 0.5000
Br 0.5000 0.5000 0.0000

Raw formation energy: 472 meV/atom
Crystal system: tetragonal
D(E_F): 0.88 states/eV per atom
Total moment: 0.00 μB per atom
Final energy: -72.08 eV for the cell shown

***

The following is a meta-GGA SCAN calculation of a PBEsol-optimized structure of LiAsRh2O, from Alexandria via LeMat-Bulk.

abc: 4.0945 4.0945 3.9933
angles: 90.00 90.00 90.00
Space group P4/mmm (No. 123)
One atom of each set of equivalent atoms:
Li 0.0000 0.0000 0.0000
As 0.0000 0.0000 0.5000
Rh 0.0000 0.5000 0.0000
O 0.5000 0.5000 0.5000

Raw formation energy: 1001 meV/atom
Crystal system: tetragonal
D(E_F): 0.65 states/eV per atom
Total moment: 0.46 μB per atom
Final energy: -91.35 eV for the cell shown

***

The following is a meta-GGA SCAN calculation of a PBEsol-optimized structure of Rb2H8O5, from Alexandria via LeMat-Bulk.

abc: 13.7735 7.7273 12.7509
angles: 90.00 110.48 90.00
Space group Cc (No. 9)
One atom of each set of equivalent atoms:
Rb 0.0000 0.1738 0.0000
Rb 0.1752 0.3120 0.2941
Rb 0.3439 0.2813 0.6962
Rb 0.3711 0.2094 0.1236
H 0.0321 0.4256 0.8540
H 0.0330 0.2583 0.5197
H 0.0468 0.1000 0.6824
H 0.0621 0.0016 0.2928
H 0.0928 0.1046 0.4285
H 0.1234 0.3054 0.7393
H 0.1456 0.2157 0.8966
H 0.1493 0.4396 0.6061
H 0.1681 0.4225 0.0122
H 0.1702 0.0919 0.6549
H 0.1855 0.0105 0.0540
H 0.2570 0.0556 0.4431
H 0.2657 0.3887 0.9001
H 0.3664 0.0498 0.4135
H 0.3954 0.3626 0.9206
H 0.4796 0.1026 0.8829
O 0.0120 0.0034 0.7112
O 0.1105 0.2674 0.6606
O 0.1429 0.0151 0.4180
O 0.1477 0.3438 0.8879
O 0.1864 0.4515 0.0952
O 0.2052 0.0172 0.1388
O 0.3332 0.4476 0.9032
O 0.3356 0.0874 0.4696
O 0.4615 0.0157 0.3367
O 0.4978 0.2692 0.9389

Crystal system: monoclinic
D(E_F): 0.00 states/eV per atom
Total moment: 0.00 μB per atom
Final energy: -951.76 eV for the cell shown